{"formula": "AcLaTb2Y", "functional": "PBE", "state": "relaxed", "sg": "P2_1/m", "total_energy_ev_per_fu": -24.55, "delta_e_f_ev_per_fu": 0.21, "volume_a3_per_cell": 356.8, "lattice_angstrom": [[5.9237, 0.0000, 0.0000], [0.0000, 6.3503, 1.0180], [0.0000, 1.7291, 9.7622]], "species": ["Tb", "Tb", "Tb", "Tb", "La", "La", "Ac", "Ac", "Y", "Y"], "frac_coords": [[0.7500, 0.9662, 0.4031], [0.2500, 0.2263, 0.2025], [0.2500, 0.0338, 0.5969], [0.7500, 0.7737, 0.7975], [0.7500, 0.3582, 0.5977], [0.2500, 0.6418, 0.4023], [0.7500, 0.5702, 0.1990], [0.2500, 0.4298, 0.8010], [0.7500, 0.1663, 0.0029], [0.2500, 0.8337, 0.9971]]}



{"formula": "AcLa2TbY5", "functional": "PBE", "state": "relaxed", "sg": "I4/mcm", "total_energy_ev_per_fu": -48.62, "delta_e_f_ev_per_fu": 2.29, "volume_a3_per_cell": 622.9, "lattice_angstrom": [[8.7997, 0.0000, 0.0000], [0.0000, 8.7997, 0.0000], [-4.3998, -4.3998, 8.0437]], "species": ["Y", "Y", "Y", "Y", "Y", "Y", "Y", "Y", "Y", "Y", "Ac", "Ac", "La", "La", "La", "La", "Tb", "Tb"], "frac_coords": [[0.8527, 0.9210, 0.2737], [0.1473, 0.0790, 0.7263], [0.9210, 0.4210, 0.2737], [0.5000, 0.5000, 0.0000], [0.6473, 0.1473, 0.7263], [0.0000, 0.0000, 0.0000], [0.3527, 0.8527, 0.2737], [0.5790, 0.6473, 0.7263], [0.4210, 0.3527, 0.2737], [0.0790, 0.5790, 0.7263], [0.2500, 0.7500, 0.5000], [0.7500, 0.2500, 0.5000], [0.6159, 0.1159, 0.0000], [0.8841, 0.6159, 0.0000], [0.3841, 0.8841, 0.0000], [0.1159, 0.3841, 0.0000], [0.7500, 0.7500, 0.5000], [0.2500, 0.2500, 0.5000]]}